A relaxed RbLiMg2Rh crystal, computed with PBE.

a = 5.1338 Å, b = 5.1338 Å, c = 5.2096 Å
α = 90.00°, β = 90.00°, γ = 90.00°
Closest atoms and distances in Å follow each position.
Positions (direct):
Mg: 0.0000 0.5000 0.0000  2 Rh 2.57
Mg: 0.5000 0.0000 0.0000  2 Rh 2.57
Rb: 0.5000 0.5000 0.5000  4 Li 3.63, 8 Mg 3.66
Rh: 0.0000 0.0000 0.0000  4 Mg 2.57, 2 Li 2.60
Li: 0.0000 0.0000 0.5000  2 Rh 2.60

Output
size of the total moment	0.00	μB per cell
D(E_F)	0.452	states/eV per atom
DFT formation energy	0	kJ/mol of atoms